(1)
Material: BeAsPdBrCl
Method: DFT, GGA-PBE
State: relaxed

## Properties
**Final energy**: -3.601 eV/atom
**DOS at the Fermi energy**: 0.335 states/eV per atom
**Magnetization**: 0.0000 μB per atom
**Raw formation energy**: -0.9 eV/f.u.

CIF file:
```
data_BeAsPdBrCl
_cell_length_a 4.020
_cell_length_b 5.460
_cell_length_c 5.490
_cell_angle_alpha 116.14
_cell_angle_beta 107.65
_cell_angle_gamma 94.54
_symmetry_space_group_name_H-M 'P 1'
_symmetry_Int_Tables_number 1
loop_
_symmetry_equiv_pos_as_xyz
'x,y,z'
loop_
_atom_site_label
_atom_site_fract_x
_atom_site_fract_y
_atom_site_fract_z
_atom_site_occupancy
Be1 0.000 0.000 0.000 1
As1 0.426 0.040 0.795 1
Pd1 0.521 0.522 0.789 1
Br1 0.194 0.724 0.183 1
Cl1 0.940 0.298 0.367 1
```



(2)
Material: BeAsPdBrCl
Method: DFT, GGA-PBE
State: relaxed

## Properties
**Final energy**: -3.737 eV/atom
**DOS at the Fermi energy**: 0.638 states/eV per atom
**Magnetization**: 0.0000 μB per atom
**Raw formation energy**: -1.6 eV/f.u.

CIF file:
```
data_BeAsPdBrCl
_cell_length_a 3.543
_cell_length_b 5.647
_cell_length_c 6.243
_cell_angle_alpha 113.39
_cell_angle_beta 105.52
_cell_angle_gamma 91.17
_symmetry_space_group_name_H-M 'P 1'
_symmetry_Int_Tables_number 1
loop_
_symmetry_equiv_pos_as_xyz
'x,y,z'
loop_
_atom_site_label
_atom_site_fract_x
_atom_site_fract_y
_atom_site_fract_z
_atom_site_occupancy
Be1 0.000 0.000 0.000 1
As1 0.637 0.668 0.005 1
Pd1 0.294 0.826 0.323 1
Br1 0.274 0.339 0.326 1
Cl1 0.958 0.022 0.686 1
```



(3)
Material: BeAsPdBrCl
Method: DFT, GGA-PBE
State: relaxed

## Properties
**Final energy**: -3.815 eV/atom
**DOS at the Fermi energy**: 0.296 states/eV per atom
**Magnetization**: 0.0000 μB per atom
**Raw formation energy**: -2.0 eV/f.u.

CIF file:
```
data_BeAsPdBrCl
_cell_length_a 12.163
_cell_length_b 3.382
_cell_length_c 7.124
_cell_angle_alpha 90.00
_cell_angle_beta 121.61
_cell_angle_gamma 90.00
_symmetry_space_group_name_H-M 'C 1 m 1'
_symmetry_Int_Tables_number 8
loop_
_symmetry_equiv_pos_as_xyz
'x,y,z'
'x,-y,z'
'x+1/2,y+1/2,z'
'x+1/2,-y+1/2,z'
loop_
_atom_site_label
_atom_site_fract_x
_atom_site_fract_y
_atom_site_fract_z
_atom_site_occupancy
Be1 0.000 0.000 0.000 1
As1 0.274 0.000 0.609 1
Pd1 0.286 0.500 0.854 1
Br1 0.015 0.000 0.315 1
Cl1 0.086 0.500 0.954 1
```



(4)
Material: BeAsPdBrCl
Method: DFT, GGA-PBE
State: relaxed

## Properties
**Final energy**: -3.859 eV/atom
**DOS at the Fermi energy**: 0.468 states/eV per atom
**Magnetization**: 0.0001 μB per atom
**Raw formation energy**: -2.2 eV/f.u.

CIF file:
```
data_BeAsPdBrCl
_cell_length_a 3.373
_cell_length_b 6.830
_cell_length_c 6.833
_cell_angle_alpha 71.49
_cell_angle_beta 77.83
_cell_angle_gamma 89.99
_symmetry_space_group_name_H-M 'P 1'
_symmetry_Int_Tables_number 1
loop_
_symmetry_equiv_pos_as_xyz
'x,y,z'
loop_
_atom_site_label
_atom_site_fract_x
_atom_site_fract_y
_atom_site_fract_z
_atom_site_occupancy
Be1 0.000 0.000 0.000 1
As1 0.961 0.297 0.090 1
Pd1 0.426 0.497 0.170 1
Br1 0.591 0.014 0.787 1
Cl1 0.887 0.750 0.262 1
```



For each record above, in turn, the calculated E above lowest polymorph values are 0.258; 0.122; 0.044; 0.000 eV per atom.